The following is a DFT calculation (PBE-GGA) of a relaxed structure of Pm6YHo3Tm2.

Cell lengths 6.226, 6.226, 11.778 Å; angles 95.04, 95.04, 119.98 degrees
Fractional positions:
1 Pm 0.749 0.749 0.250
2 Pm 0.916 0.582 0.750
3 Pm 0.582 0.916 0.750
4 Pm 0.418 0.084 0.250
5 Pm 0.084 0.418 0.250
6 Pm 0.251 0.251 0.750
7 Ho 0.500 0.500 0.500
8 Ho 0.167 0.833 0.500
9 Ho 0.833 0.167 0.500
10 Tm 0.667 0.333 0.000
11 Tm 0.333 0.667 0.000
12 Y 0.000 0.000 0.000

Calculated values
Total magnetization   0.00 μB/atom
DOS(E_F)   1.13 states/eV per atom
Formation energy from the elements   16 kJ/mol of formula units
Volume   389.3 Å³ per cell